No. 1
{"formula": "Mn2CdOs", "functional": "PBE", "state": "optimized geometry", "cell": [[2.8705, 0.0000, 0.0000], [0.0000, 2.8705, 0.0000], [0.0000, 0.0000, 7.3167]], "species": ["Mn", "Mn", "Cd", "Os"], "frac_coords": [[0.0000, 0.0000, 0.0000], [0.5000, 0.5000, 0.2228], [0.5000, 0.5000, 0.7125], [0.0000, 0.0000, 0.4169]], "crystal_system": "tetragonal", "delta_e_f_ev_per_atom": 0.2766, "dft_energy_ev_per_atom": -7.344, "sg": "P4mm, No. 99"}

No. 2
{"formula": "MnCd2Os", "functional": "PBE", "state": "optimized geometry", "cell": [[3.9982, 0.0000, 0.0000], [0.0000, 3.9982, 0.0000], [0.0000, 0.0000, 4.2526]], "species": ["Mn", "Cd", "Cd", "Os"], "frac_coords": [[0.0000, 0.0000, 0.0000], [0.0000, 0.5000, 0.5000], [0.5000, 0.0000, 0.5000], [0.5000, 0.5000, 0.0000]], "polymorph_energy_mev_per_atom": 247, "crystal_system": "tetragonal", "delta_e_f_ev_per_atom": 0.4658, "dft_energy_ev_per_atom": -5.092, "sg": "P4/mmm, No. 123"}

No. 3
{"formula": "Mn2CdOs", "functional": "PBE", "state": "optimized geometry", "cell": [[0.0000, 3.1118, 3.1118], [3.1118, 0.0000, 3.1118], [3.1118, 3.1118, 0.0000]], "species": ["Mn", "Mn", "Cd", "Os"], "frac_coords": [[0.0000, 0.0000, 0.0000], [0.2500, 0.2500, 0.2500], [0.5000, 0.5000, 0.5000], [0.7500, 0.7500, 0.7500]], "crystal_system": "cubic", "delta_e_f_ev_per_atom": 0.5428, "dft_energy_ev_per_atom": -7.078, "sg": "F-43m, No. 216"}

No. 4
{"formula": "Mn2CdOs2", "functional": "PBE", "state": "optimized geometry", "cell": [[7.3121, 0.0000, 0.0000], [0.0000, 7.3121, 0.0000], [0.0000, 0.0000, 2.6894]], "species": ["Mn", "Mn", "Mn", "Mn", "Cd", "Cd", "Os", "Os", "Os", "Os"], "frac_coords": [[0.1217, 0.3783, 0.0000], [0.3783, 0.8783, 0.0000], [0.6217, 0.1217, 0.0000], [0.8783, 0.6217, 0.0000], [0.0000, 0.0000, 0.0000], [0.5000, 0.5000, 0.0000], [0.1620, 0.6620, 0.5000], [0.3380, 0.1620, 0.5000], [0.6620, 0.8380, 0.5000], [0.8380, 0.3380, 0.5000]], "polymorph_energy_mev_per_atom": 15, "crystal_system": "tetragonal", "delta_e_f_ev_per_atom": 0.3139, "dft_energy_ev_per_atom": -8.029, "sg": "P4/mbm, No. 127"}

No. 5
{"formula": "MnCd2Os", "functional": "PBE", "state": "optimized geometry", "cell": [[-1.7941, 2.1406, 4.4141], [1.7941, -2.1406, 4.4141], [1.7941, 2.1406, -4.4141]], "species": ["Mn", "Cd", "Cd", "Os"], "frac_coords": [[0.0000, 0.0000, 0.0000], [0.2461, 0.7461, 0.5000], [0.7539, 0.2539, 0.5000], [0.5000, 0.5000, 0.0000]], "polymorph_energy_mev_per_atom": 246, "crystal_system": "orthorhombic", "delta_e_f_ev_per_atom": 0.4648, "dft_energy_ev_per_atom": -5.093, "sg": "Immm, No. 71"}

No. 6
{"formula": "Mn3CdOs", "functional": "PBE", "state": "optimized geometry", "cell": [[4.7511, 0.0000, 0.0000], [0.0000, 4.7511, 0.0000], [0.0000, 0.0000, 4.7511]], "species": ["Mn", "Mn", "Mn", "Cd", "Os"], "frac_coords": [[0.0000, 0.0000, 0.5000], [0.0000, 0.5000, 0.0000], [0.5000, 0.0000, 0.0000], [0.5000, 0.5000, 0.5000], [0.0000, 0.0000, 0.0000]], "polymorph_energy_mev_per_atom": 0, "crystal_system": "cubic", "delta_e_f_ev_per_atom": 1.1009, "dft_energy_ev_per_atom": -6.830, "sg": "Pm-3m, No. 221"}

No. 7
{"formula": "Mn2CdOs", "functional": "PBE", "state": "optimized geometry", "cell": [[-3.5161, 3.5161, 2.7160], [3.5161, -3.5161, 2.7160], [3.5161, 3.5161, -2.7160]], "species": ["Mn", "Mn", "Mn", "Mn", "Cd", "Cd", "Os", "Os"], "frac_coords": [[0.0872, 0.1250, 0.4622], [0.3750, 0.9128, 0.0378], [0.6628, 0.6250, 0.5378], [0.8750, 0.3372, 0.9622], [0.2500, 0.7500, 0.5000], [0.5000, 0.5000, 0.0000], [0.0000, 0.0000, 0.0000], [0.7500, 0.2500, 0.5000]], "crystal_system": "tetragonal", "delta_e_f_ev_per_atom": 0.8184, "dft_energy_ev_per_atom": -6.803, "sg": "I-42d, No. 122"}

No. 8
{"formula": "MnCd2Os", "functional": "PBE", "state": "optimized geometry", "cell": [[4.8571, -1.4361, 0.0000], [4.8571, 1.4361, 0.0000], [-0.8573, 0.0000, 4.8649]], "species": ["Mn", "Cd", "Cd", "Os"], "frac_coords": [[0.0000, 0.0000, 0.0000], [0.2485, 0.2485, 0.7488], [0.7515, 0.7515, 0.2512], [0.5000, 0.5000, 0.5000]], "polymorph_energy_mev_per_atom": 261, "crystal_system": "monoclinic", "delta_e_f_ev_per_atom": 0.4791, "dft_energy_ev_per_atom": -5.078, "sg": "C2/m, No. 12"}

No. 9
{"formula": "MnCd2Os", "functional": "PBE", "state": "optimized geometry", "cell": [[1.4853, -2.3836, 0.0000], [1.4853, 2.3836, 0.0000], [0.0000, 0.0000, 9.7074]], "species": ["Mn", "Cd", "Cd", "Os"], "frac_coords": [[0.0000, 0.0000, 0.0000], [0.5000, 0.5000, 0.2481], [0.5000, 0.5000, 0.7519], [0.0000, 0.0000, 0.5000]], "polymorph_energy_mev_per_atom": 347, "crystal_system": "orthorhombic", "delta_e_f_ev_per_atom": 0.5656, "dft_energy_ev_per_atom": -4.992, "sg": "Cmmm, No. 65"}

No. 10
{"formula": "MnCd2Os", "functional": "PBE", "state": "optimized geometry", "cell": [[0.0000, 3.2541, 3.2541], [3.2541, 0.0000, 3.2541], [3.2541, 3.2541, 0.0000]], "species": ["Mn", "Cd", "Cd", "Os"], "frac_coords": [[0.0000, 0.0000, 0.0000], [0.2500, 0.2500, 0.2500], [0.7500, 0.7500, 0.7500], [0.5000, 0.5000, 0.5000]], "polymorph_energy_mev_per_atom": 370, "crystal_system": "cubic", "delta_e_f_ev_per_atom": 0.5889, "dft_energy_ev_per_atom": -4.968, "sg": "Fm-3m, No. 225"}

No. 11
{"formula": "MnCd2Os", "functional": "PBE", "state": "optimized geometry", "cell": [[4.8890, 0.0000, 0.0000], [0.0000, 2.9335, 0.0000], [-1.6097, 0.0000, 4.7560]], "species": ["Mn", "Cd", "Cd", "Os"], "frac_coords": [[0.0000, 0.0000, 0.0000], [0.0000, 0.5000, 0.5000], [0.5000, 0.0000, 0.5000], [0.5000, 0.5000, 0.0000]], "polymorph_energy_mev_per_atom": 271, "crystal_system": "monoclinic", "delta_e_f_ev_per_atom": 0.4901, "dft_energy_ev_per_atom": -5.067, "sg": "P2/m, No. 10"}

No. 12
{"formula": "MnCd2Os", "functional": "PBE", "state": "optimized geometry", "cell": [[2.8708, 0.0000, 0.0000], [0.0000, 2.8707, 0.0000], [-0.0203, 0.0000, 8.1185]], "species": ["Mn", "Cd", "Cd", "Os"], "frac_coords": [[0.0000, 0.0000, 0.0000], [0.5014, 0.5000, 0.2507], [0.9972, 0.0000, 0.5622], [0.4988, 0.5000, 0.8300]], "polymorph_energy_mev_per_atom": 0, "crystal_system": "monoclinic", "delta_e_f_ev_per_atom": 0.2186, "dft_energy_ev_per_atom": -5.339, "sg": "Pm, No. 6"}

No. 13
{"formula": "MnCdOs4", "functional": "PBE", "state": "optimized geometry", "cell": [[0.0000, 3.6740, 3.6740], [3.6740, 0.0000, 3.6740], [3.6740, 3.6740, 0.0000]], "species": ["Mn", "Cd", "Os", "Os", "Os", "Os"], "frac_coords": [[0.0000, 0.0000, 0.0000], [0.2500, 0.2500, 0.2500], [0.1242, 0.6253, 0.6253], [0.6253, 0.1242, 0.6253], [0.6253, 0.6253, 0.1242], [0.6253, 0.6253, 0.6253]], "crystal_system": "cubic", "delta_e_f_ev_per_atom": 0.6590, "dft_energy_ev_per_atom": -8.508, "sg": "F-43m, No. 216"}

No. 14
{"formula": "Mn2CdOs", "functional": "PBE", "state": "optimized geometry", "cell": [[4.5194, -1.4085, 0.0000], [4.5194, 1.4085, 0.0000], [-0.8777, 0.0000, 4.7054]], "species": ["Mn", "Mn", "Cd", "Os"], "frac_coords": [[0.0000, 0.0000, 0.0000], [0.2498, 0.2498, 0.7342], [0.7570, 0.7570, 0.2418], [0.5147, 0.5147, 0.5562]], "crystal_system": "monoclinic", "delta_e_f_ev_per_atom": 0.3695, "dft_energy_ev_per_atom": -7.251, "sg": "Cm, No. 8"}

No. 15
{"formula": "Mn2CdOs", "functional": "PBE", "state": "optimized geometry", "cell": [[4.4156, -1.3680, 0.0000], [4.4156, 1.3680, 0.0000], [-0.7927, 0.0000, 4.8737]], "species": ["Mn", "Mn", "Cd", "Os"], "frac_coords": [[0.2407, 0.2407, 0.1886], [0.7593, 0.7593, 0.8114], [0.0000, 0.0000, 0.5000], [0.5000, 0.5000, 0.0000]], "crystal_system": "monoclinic", "delta_e_f_ev_per_atom": 0.5131, "dft_energy_ev_per_atom": -7.108, "sg": "C2/m, No. 12"}